Arrangement 1

This record from Alexandria describes a relaxed structure of PaTl2I8. The functional is PBE.

Lattice parameters (Å, degrees): 8.9654 8.9654 8.9436 110.63 110.63 81.88
Atoms (fractional coordinates):
Pa: 0.0000 0.0000 0.0000
Tl: 0.1392 0.1392 0.5960
Tl: 0.8608 0.8608 0.4040
I: 0.1295 0.7698 0.1878
I: 0.2302 0.8705 0.8122
I: 0.2345 0.2345 0.2609
I: 0.3847 0.3847 0.8390
I: 0.6153 0.6153 0.1610
I: 0.7655 0.7655 0.7391
I: 0.7698 0.1295 0.1878
I: 0.8705 0.2302 0.8122

- Density of states at the Fermi level: 0.138 states/eV/atom
- Space-group type: No. 12


Arrangement 2

This record from Alexandria describes a relaxed structure of PaTl2I8. The functional is PBE.

Lattice parameters (Å, degrees): 9.2248 9.2248 8.5486 99.66 99.66 51.60
Atoms (fractional coordinates):
Pa: 0.0000 0.0000 0.0000
Tl: 0.1505 0.1505 0.5550
Tl: 0.8495 0.8495 0.4450
I: 0.1774 0.1774 0.9849
I: 0.2235 0.7168 0.7467
I: 0.2832 0.7765 0.2533
I: 0.3081 0.3081 0.3823
I: 0.6919 0.6919 0.6177
I: 0.7168 0.2235 0.7467
I: 0.7765 0.2832 0.2533
I: 0.8226 0.8226 0.0151

- Density of states at the Fermi level: 0.636 states/eV/atom
- Space-group type: No. 12


Stability, descending: arrangement 1, arrangement 2


Arrangement 1

This record from Alexandria describes a relaxed structure of PdPbI2. The functional is PBE.

Lattice parameters (Å, degrees): 5.4664 5.4664 5.4664 60.00 60.00 60.00
Atoms (fractional coordinates):
Pd: 0.0000 0.0000 0.0000
Pb: 0.5000 0.5000 0.5000
I: 0.2500 0.2500 0.2500
I: 0.7500 0.7500 0.7500

- Density of states at the Fermi level: 0.000 states/eV/atom
- Space-group type: No. 225


Arrangement 2

This record from Alexandria describes a relaxed structure of PdPbI2. The functional is PBE.

Lattice parameters (Å, degrees): 8.0865 8.0865 8.0865 128.80 128.80 75.34
Atoms (fractional coordinates):
Pd: 0.0000 0.0000 0.0000
Pd: 0.7500 0.2500 0.5000
Pb: 0.2500 0.7500 0.5000
Pb: 0.5000 0.5000 0.0000
I: 0.0708 0.6250 0.9458
I: 0.3750 0.3208 0.4458
I: 0.6792 0.1250 0.0542
I: 0.8750 0.9292 0.5542

- Density of states at the Fermi level: 0.000 states/eV/atom
- Space-group type: No. 122


Stability, descending: arrangement 2, arrangement 1


Arrangement 1

This record from Alexandria describes a relaxed structure of Pd2PbI. The functional is PBE.

Lattice parameters (Å, degrees): 4.9777 4.9777 4.9777 60.00 60.00 60.00
Atoms (fractional coordinates):
Pd: 0.2500 0.2500 0.2500
Pd: 0.7500 0.7500 0.7500
Pb: 0.0000 0.0000 0.0000
I: 0.5000 0.5000 0.5000

- Density of states at the Fermi level: 0.244 states/eV/atom
- Space-group type: No. 225


Arrangement 2

This record from Alexandria describes a relaxed structure of Pd2PbI. The functional is PBE.

Lattice parameters (Å, degrees): 6.3021 6.3021 6.3021 105.44 105.44 117.87
Atoms (fractional coordinates):
Pd: 0.1230 0.6250 0.9980
Pd: 0.3750 0.3730 0.4980
Pd: 0.6270 0.1250 0.0020
Pd: 0.8750 0.8770 0.5020
Pb: 0.2500 0.7500 0.5000
Pb: 0.5000 0.5000 0.0000
I: 0.0000 0.0000 0.0000
I: 0.7500 0.2500 0.5000

- Density of states at the Fermi level: 0.820 states/eV/atom
- Space-group type: No. 122


Stability, descending: arrangement 1, arrangement 2


Arrangement 1

This record from Alexandria describes a relaxed structure of SbPdPbI2. The functional is PBE.

Lattice parameters (Å, degrees): 6.1908 6.1908 6.0365 90.00 90.00 90.00
Atoms (fractional coordinates):
Sb: 0.0000 0.0000 0.0000
Pd: 0.5000 0.5000 0.0000
Pb: 0.0000 0.0000 0.5000
I: 0.0000 0.5000 0.5000
I: 0.5000 0.0000 0.5000

- Density of states at the Fermi level: 2.814 states/eV/atom
- Space-group type: No. 123


Arrangement 2

This record from Alexandria describes a relaxed structure of SbPdPbI2. The functional is PBE.

Lattice parameters (Å, degrees): 5.4719 5.4719 5.3726 90.00 90.00 90.00
Atoms (fractional coordinates):
Sb: 0.0000 0.0000 0.0000
Pd: 0.0000 0.0000 0.5000
Pb: 0.5000 0.5000 0.0000
I: 0.0000 0.5000 0.5000
I: 0.5000 0.0000 0.5000

- Density of states at the Fermi level: 0.697 states/eV/atom
- Space-group type: No. 123


Stability, descending: arrangement 2, arrangement 1